1.
# Ho5PaC4 PBE relaxed
# Total DFT energy (no corrections), eV per atom: -7.2598
# DFT formation energy, eV per atom: -0.33
# Calculated volume, Å³/f.u.: 199
data_Ho5PaC4
_symmetry_space_group_name_H-M 'C 1 2/m 1'
_symmetry_Int_Tables_number 12
_cell_length_a 15.691
_cell_length_b 3.590
_cell_length_c 7.251
_cell_angle_alpha 90.00
_cell_angle_beta 102.83
_cell_angle_gamma 90.00
loop_
_symmetry_equiv_pos_as_xyz
'x,y,z'
'-x,-y,-z'
'-x,y,-z'
'x,-y,z'
'x+1/2,y+1/2,z'
'-x+1/2,-y+1/2,-z'
'-x+1/2,y+1/2,-z'
'x+1/2,-y+1/2,z'
loop_
_atom_site_label
_atom_site_fract_x
_atom_site_fract_y
_atom_site_fract_z
Ho1 0.000 0.000 0.000
Ho2 0.161 0.500 0.812
Ho3 0.167 0.500 0.351
Pa1 0.000 0.000 0.500
C1 0.002 0.500 0.742
C2 0.163 0.000 0.582


2.
# LiRe2Br PBE relaxed
# Total DFT energy (no corrections), eV per atom: -6.7538
# Energy relative to the elements, uncorrected, eV/atom: 0.3670
# ΔE to the lowest computed polymorph, kJ/mol of formula units: 81
# Calculated volume, Å³/f.u.: 66
data_LiRe2Br
_symmetry_space_group_name_H-M 'I m m m'
_symmetry_Int_Tables_number 71
_symmetry_space_group_name_Hall '-I 2 2'
_cell_length_a 3.160
_cell_length_b 3.239
_cell_length_c 12.898
_cell_angle_alpha 90.00
_cell_angle_beta 90.00
_cell_angle_gamma 90.00
loop_
_atom_site_label
_atom_site_fract_x
_atom_site_fract_y
_atom_site_fract_z
Li1 0.000 0.000 0.000
Re1 0.000 0.500 0.298
Br1 0.000 0.000 0.500


Number 1: spin magnetization 0.0 μB per formula unit. Number 2: spin magnetization 0.0 μB per formula unit.